The following is a DFT calculation (PBE) of a relaxed structure of CaLa3Nd7.

Its crystal system is monoclinic. The polymorph energy (0 for the lowest one) comes out at 0.00 eV/f.u.

It has space group C2/m (No. 12), with a = 12.032 Å, b = 10.356 Å, c = 6.676 Å, α = 90.00°, β = 94.09° and γ = 90.00°. Symmetry generates all atoms from Ca at (0.000, 0.000, 0.000), La at (0.000, 0.325, 0.500), La at (0.000, 0.500, 0.000), Nd at (0.000, 0.000, 0.500), Nd at (0.234, 0.500, 0.706) and Nd at (0.242, 0.172, 0.756).

The following is a DFT calculation (PBE) of a relaxed structure of Ca2La2Nd.

Its crystal system is trigonal. The polymorph energy (0 for the lowest one) comes out at 0.00 eV/f.u.

It has space group P-3m1 (No. 164), with a = 3.7629 Å, b = 3.7629 Å, c = 15.7465 Å, α = 90.00°, β = 90.00° and γ = 120.00°. Symmetry generates all atoms from Ca at (0.3333, 0.6667, 0.1039), La at (0.3333, 0.6667, 0.6886) and Nd at (0.0000, 0.0000, 0.5000).

The following is a DFT calculation (PBE) of a relaxed structure of CaLa2Nd12.

Its crystal system is tetragonal.

It has space group P4/nbm (No. 125, origin choice 2), with a = 6.653 Å, b = 6.653 Å, c = 26.178 Å, α = 90.00°, β = 90.00° and γ = 90.00°. Symmetry generates all atoms from Ca at (0.250, 0.750, 0.000), La at (0.250, 0.750, 0.270), Nd at (0.065, 0.565, 0.122), Nd at (0.082, 0.582, 0.560), Nd at (0.250, 0.250, 0.221) and Nd at (0.250, 0.250, 0.341).

The following is a DFT calculation (PBE) of a relaxed structure of CaLa8Nd2.

Its crystal system is monoclinic.

It has space group C2/m (No. 12), with a = 19.037 Å, b = 5.303 Å, c = 8.350 Å, α = 90.00°, β = 104.96° and γ = 90.00°. Symmetry generates all atoms from Ca at (0.000, 0.000, 0.000), La at (0.048, 0.500, 0.717), La at (0.092, 0.000, 0.462), La at (0.142, 0.500, 0.190), La at (0.184, 0.000, 0.910) and Nd at (0.227, 0.500, 0.637).

The following is a DFT calculation (PBE) of a relaxed structure of CaLaNdPb.

Its crystal system is cubic.

It has space group F-43m (No. 216), with a = 8.074 Å, b = 8.074 Å, c = 8.074 Å, α = 90.00°, β = 90.00° and γ = 90.00°. Symmetry generates all atoms from Ca at (0.000, 0.000, 0.000), La at (0.250, 0.250, 0.750), Nd at (0.250, 0.250, 0.250) and Pb at (0.000, 0.000, 0.500).

The following is a DFT calculation (PBE) of a relaxed structure of CaLaPm4Nd2.

Its crystal system is monoclinic.

It has space group C2/m (No. 12), with a = 12.809 Å, b = 7.363 Å, c = 12.818 Å, α = 90.00°, β = 109.52° and γ = 90.00°. Symmetry generates all atoms from Ca at (0.250, 0.250, 0.000), La at (0.000, 0.000, 0.000), La at (0.000, 0.000, 0.500), Pm at (0.003, 0.250, 0.251), Pm at (0.250, 0.000, 0.256), Pm at (0.250, 0.000, 0.745), Nd at (0.000, 0.500, 0.000), Nd at (0.000, 0.500, 0.500) and Nd at (0.250, 0.250, 0.500).

The following is a DFT calculation (PBE) of a relaxed structure of CaLa2Pm6Nd3.

Its crystal system is monoclinic.

It has space group C2/m (No. 12), with a = 6.396 Å, b = 11.086 Å, c = 12.223 Å, α = 90.00°, β = 100.13° and γ = 90.00°. Symmetry generates all atoms from Ca at (0.000, 0.000, 0.000), La at (0.000, 0.333, 0.000), Pm at (0.246, 0.331, 0.746), Pm at (0.248, 0.500, 0.254), Nd at (0.000, 0.166, 0.500) and Nd at (0.000, 0.500, 0.500).

The following is a DFT calculation (PBE) of a relaxed structure of CaLaPmNd.

Its crystal system is cubic. The polymorph energy (0 for the lowest one) comes out at 0.34 eV/f.u.

It has space group F-43m (No. 216), with a = 8.388 Å, b = 8.388 Å, c = 8.388 Å, α = 90.00°, β = 90.00° and γ = 90.00°. Symmetry generates all atoms from Ca at (0.000, 0.000, 0.000), La at (0.250, 0.250, 0.250), Pm at (0.000, 0.000, 0.500) and Nd at (0.250, 0.250, 0.750).

Computed DFT total energy (Ry per atom) in order:
-0.32031 -0.27165 -0.31854 -0.33868 -0.29845 -0.32317 -0.33227 -0.29350
Computed E_form (eV per atom) in order:
0.20 0.03 0.27 0.02 -0.21 0.04 0.03 0.12